Run one
# NdGeNO

NdGeNO after structural relaxation (GGA-PBE, OQMD via LeMat-Bulk).

a b c (Å): 4.2145 4.2145 7.2484
angles (deg): 90.00 90.00 90.00
Atoms (fractional coordinates):
Nd (0.2500, 0.2500, 0.1499)
Nd (0.7500, 0.7500, 0.8501)
Ge (0.2500, 0.7500, 0.5000)
Ge (0.7500, 0.2500, 0.5000)
N (0.2500, 0.2500, 0.5220)
N (0.7500, 0.7500, 0.4780)
O (0.2500, 0.7500, 0.0000)
O (0.7500, 0.2500, 0.0000)

Calculated values
Symmetry: No. 129
Total magnetization, μB per atom: 0.001
Theoretical density, g/cm3: 6.37

---

Run two
# NdGeNO

NdGeNO after structural relaxation (GGA-PBE, OQMD via LeMat-Bulk).

a b c (Å): 4.8534 4.8534 5.0227
angles (deg): 90.00 90.00 90.00
Atoms (fractional coordinates):
Nd (0.2500, 0.7500, 0.0000)
Nd (0.7500, 0.2500, 0.0000)
Ge (0.2500, 0.2500, 0.4918)
Ge (0.7500, 0.7500, 0.5082)
N (0.2500, 0.2500, 0.1209)
N (0.7500, 0.7500, 0.8791)
O (0.2500, 0.7500, 0.5000)
O (0.7500, 0.2500, 0.5000)

Calculated values
Symmetry: No. 129
Total magnetization, μB per atom: 0.000
Theoretical density, g/cm3: 6.93

---

Run three
# NdGeNO

NdGeNO after structural relaxation (GGA-PBE, OQMD via LeMat-Bulk).

a b c (Å): 4.1975 6.1552 5.0016
angles (deg): 90.00 90.00 90.00
Atoms (fractional coordinates):
Nd (0.0000, 0.2164, 0.0000)
Nd (0.0000, 0.7836, 0.5000)
Ge (0.5000, 0.3132, 0.4638)
Ge (0.5000, 0.6868, 0.9638)
N (0.5000, 0.3780, 0.8352)
N (0.5000, 0.6220, 0.3352)
O (0.0000, 0.1541, 0.5258)
O (0.0000, 0.8459, 0.0258)

Calculated values
Symmetry: No. 26
Total magnetization, μB per atom: 0.000
Theoretical density, g/cm3: 6.35

---

Q: Which of them is the least stable? A: run one.

---

Run one
# PaGeNO

PaGeNO after structural relaxation (GGA-PBE, OQMD via LeMat-Bulk).

a b c (Å): 4.9568 4.9568 4.8187
angles (deg): 90.00 90.00 90.00
Atoms (fractional coordinates):
Pa (0.2500, 0.7500, 0.0000)
Pa (0.7500, 0.2500, 0.0000)
Ge (0.2500, 0.2500, 0.4826)
Ge (0.7500, 0.7500, 0.5174)
N (0.2500, 0.2500, 0.8732)
N (0.7500, 0.7500, 0.1268)
O (0.2500, 0.7500, 0.5000)
O (0.7500, 0.2500, 0.5000)

Calculated values
Symmetry: No. 129
Total magnetization, μB per atom: 0.274
Theoretical density, g/cm3: 9.36

---

Run two
# PaGeNO

PaGeNO after structural relaxation (GGA-PBE, OQMD via LeMat-Bulk).

a b c (Å): 3.5510 3.5510 8.6362
angles (deg): 90.00 90.00 90.00
Atoms (fractional coordinates):
Pa (0.2500, 0.2500, 0.1762)
Pa (0.7500, 0.7500, 0.8238)
Ge (0.2500, 0.7500, 0.5000)
Ge (0.7500, 0.2500, 0.5000)
N (0.2500, 0.2500, 0.7528)
N (0.7500, 0.7500, 0.2472)
O (0.2500, 0.7500, 0.0000)
O (0.7500, 0.2500, 0.0000)

Calculated values
Symmetry: No. 129
Total magnetization, μB per atom: 0.001
Theoretical density, g/cm3: 10.18

---

Run three
# PaGeNO

PaGeNO after structural relaxation (GGA-PBE, OQMD via LeMat-Bulk).

a b c (Å): 4.5816 4.0283 6.6569
angles (deg): 90.00 90.00 90.00
Atoms (fractional coordinates):
Pa (0.0000, 0.2502, 0.0000)
Pa (0.0000, 0.7498, 0.5000)
Ge (0.5000, 0.2336, 0.3289)
Ge (0.5000, 0.7664, 0.8289)
N (0.5000, 0.1732, 0.0094)
N (0.5000, 0.8268, 0.5094)
O (0.0000, 0.2537, 0.6636)
O (0.0000, 0.7463, 0.1636)

Calculated values
Symmetry: No. 26
Total magnetization, μB per atom: 0.000
Theoretical density, g/cm3: 9.02

---

Q: Which of them is the least stable? A: run one.

---

Run one
# PmGeNO

PmGeNO after structural relaxation (GGA-PBE, OQMD via LeMat-Bulk).

a b c (Å): 4.1936 4.1936 7.1440
angles (deg): 90.00 90.00 90.00
Atoms (fractional coordinates):
Pm (0.2500, 0.2500, 0.1490)
Pm (0.7500, 0.7500, 0.8510)
Ge (0.2500, 0.7500, 0.5000)
Ge (0.7500, 0.2500, 0.5000)
N (0.2500, 0.2500, 0.5279)
N (0.7500, 0.7500, 0.4721)
O (0.2500, 0.7500, 0.0000)
O (0.7500, 0.2500, 0.0000)

Calculated values
Symmetry: No. 129
Total magnetization, μB per atom: 0.001
Theoretical density, g/cm3: 6.55

---

Run two
# PmGeNO

PmGeNO after structural relaxation (GGA-PBE, OQMD via LeMat-Bulk).

a b c (Å): 4.0779 6.4082 4.9495
angles (deg): 90.00 90.00 90.00
Atoms (fractional coordinates):
Pm (0.0000, 0.2079, 0.0000)
Pm (0.0000, 0.7921, 0.5000)
Ge (0.5000, 0.3258, 0.4612)
Ge (0.5000, 0.6742, 0.9612)
N (0.5000, 0.3756, 0.8366)
N (0.5000, 0.6244, 0.3366)
O (0.0000, 0.1407, 0.5295)
O (0.0000, 0.8593, 0.0295)

Calculated values
Symmetry: No. 26
Total magnetization, μB per atom: 0.001
Theoretical density, g/cm3: 6.36

---

Q: Which of them is the least stable? A: run one.

---

Run one
# PmGeNO

PmGeNO after structural relaxation (GGA-PBE, OQMD via LeMat-Bulk).

a b c (Å): 3.7404 7.0039 5.1164
angles (deg): 90.00 90.00 90.00
Atoms (fractional coordinates):
Pm (0.0000, 0.2034, 0.0000)
Pm (0.0000, 0.7966, 0.5000)
Ge (0.5000, 0.2488, 0.4742)
Ge (0.5000, 0.7512, 0.9742)
N (0.0000, 0.1282, 0.5145)
N (0.0000, 0.8718, 0.0145)
O (0.5000, 0.3408, 0.8130)
O (0.5000, 0.6592, 0.3130)

Calculated values
Symmetry: No. 26
Total magnetization, μB per atom: 0.000
Theoretical density, g/cm3: 6.14

---

Run two
# PmGeNO

PmGeNO after structural relaxation (GGA-PBE, OQMD via LeMat-Bulk).

a b c (Å): 6.5853 6.7064 5.5681
angles (deg): 90.00 90.00 90.00
Atoms (fractional coordinates):
Pm (0.0690, 0.1866, 0.0000)
Pm (0.4310, 0.1866, 0.5000)
Pm (0.5690, 0.8134, 0.0000)
Pm (0.9310, 0.8134, 0.5000)
Ge (0.1068, 0.6752, 0.0066)
Ge (0.3932, 0.6752, 0.5066)
Ge (0.6068, 0.3248, 0.0066)
Ge (0.8932, 0.3248, 0.5066)
N (0.0883, 0.1262, 0.5760)
N (0.4117, 0.1262, 0.0760)
N (0.5883, 0.8738, 0.5760)
N (0.9117, 0.8738, 0.0760)
O (0.0393, 0.4779, 0.2529)
O (0.4607, 0.4779, 0.7529)
O (0.5393, 0.5221, 0.2529)
O (0.9607, 0.5221, 0.7529)

Calculated values
Symmetry: No. 29
Total magnetization, μB per atom: 0.000
Theoretical density, g/cm3: 6.69

---

Run three
# PmGeNO

PmGeNO after structural relaxation (GGA-PBE, OQMD via LeMat-Bulk).

a b c (Å): 4.8627 4.8627 4.9577
angles (deg): 90.00 90.00 90.00
Atoms (fractional coordinates):
Pm (0.2500, 0.7500, 0.0000)
Pm (0.7500, 0.2500, 0.0000)
Ge (0.2500, 0.2500, 0.4896)
Ge (0.7500, 0.7500, 0.5104)
N (0.2500, 0.2500, 0.1122)
N (0.7500, 0.7500, 0.8878)
O (0.2500, 0.7500, 0.5000)
O (0.7500, 0.2500, 0.5000)

Calculated values
Symmetry: No. 129
Total magnetization, μB per atom: 0.000
Theoretical density, g/cm3: 7.02

---

Q: Which of them is the least stable? A: run three.

---

Run one
# PrGeNO

PrGeNO after structural relaxation (GGA-PBE, OQMD via LeMat-Bulk).

a b c (Å): 4.9590 4.9590 4.9893
angles (deg): 90.00 90.00 90.00
Atoms (fractional coordinates):
Pr (0.2500, 0.7500, 0.0000)
Pr (0.7500, 0.2500, 0.0000)
Ge (0.2500, 0.2500, 0.4868)
Ge (0.7500, 0.7500, 0.5132)
N (0.2500, 0.2500, 0.1134)
N (0.7500, 0.7500, 0.8866)
O (0.2500, 0.7500, 0.5000)
O (0.7500, 0.2500, 0.5000)

Calculated values
Symmetry: No. 129
Total magnetization, μB per atom: 0.000
Theoretical density, g/cm3: 6.59

---

Run two
# PrGeNO

PrGeNO after structural relaxation (GGA-PBE, OQMD via LeMat-Bulk).

a b c (Å): 6.6803 6.7916 5.6164
angles (deg): 90.00 90.00 90.00
Atoms (fractional coordinates):
Pr (0.0676, 0.1888, 0.0000)
Pr (0.4324, 0.1888, 0.5000)
Pr (0.5676, 0.8112, 0.0000)
Pr (0.9324, 0.8112, 0.5000)
Ge (0.1046, 0.6738, 0.0058)
Ge (0.3954, 0.6738, 0.5058)
Ge (0.6046, 0.3262, 0.0058)
Ge (0.8954, 0.3262, 0.5058)
N (0.0871, 0.1290, 0.5689)
N (0.4129, 0.1290, 0.0689)
N (0.5871, 0.8710, 0.5689)
N (0.9129, 0.8710, 0.0689)
O (0.0352, 0.4831, 0.2554)
O (0.4648, 0.4831, 0.7554)
O (0.5352, 0.5169, 0.2554)
O (0.9648, 0.5169, 0.7554)

Calculated values
Symmetry: No. 29
Total magnetization, μB per atom: 0.001
Theoretical density, g/cm3: 6.35

---

Q: Which of them is the least stable? A: run one.

---

Run one
# PrGeNO

PrGeNO after structural relaxation (GGA-PBE, OQMD via LeMat-Bulk).

a b c (Å): 5.6506 5.6506 3.5428
angles (deg): 90.00 90.00 97.35
Atoms (fractional coordinates):
Pr (0.2414, 0.7586, 0.0000)
Pr (0.7586, 0.2414, 0.0000)
Ge (0.2453, 0.2453, 0.4997)
Ge (0.7330, 0.7330, 0.5023)
N (0.3408, 0.3408, 0.9998)
N (0.9929, 0.9929, 0.4986)
O (0.0116, 0.4886, 0.4997)
O (0.4886, 0.0116, 0.4997)

Calculated values
Symmetry: No. 8
Total magnetization, μB per atom: 0.001
Theoretical density, g/cm3: 7.21

---

Run two
# PrGeNO

PrGeNO after structural relaxation (GGA-PBE, OQMD via LeMat-Bulk).

a b c (Å): 4.2158 4.2158 7.2757
angles (deg): 90.00 90.00 90.00
Atoms (fractional coordinates):
Pr (0.2500, 0.2500, 0.1531)
Pr (0.7500, 0.7500, 0.8469)
Ge (0.2500, 0.7500, 0.5000)
Ge (0.7500, 0.2500, 0.5000)
N (0.2500, 0.2500, 0.5407)
N (0.7500, 0.7500, 0.4593)
O (0.2500, 0.7500, 0.0000)
O (0.7500, 0.2500, 0.0000)

Calculated values
Symmetry: No. 129
Total magnetization, μB per atom: 0.000
Theoretical density, g/cm3: 6.26

---

Run three
# PrGeNO

PrGeNO after structural relaxation (GGA-PBE, OQMD via LeMat-Bulk).

a b c (Å): 6.1940 7.9251 5.1250
angles (deg): 90.00 90.00 90.00
Atoms (fractional coordinates):
Pr (0.0455, 0.1716, 0.0000)
Pr (0.4545, 0.1716, 0.5000)
Pr (0.5455, 0.8284, 0.0000)
Pr (0.9545, 0.8284, 0.5000)
Ge (0.1449, 0.5865, 0.0291)
Ge (0.3551, 0.5865, 0.5291)
Ge (0.6449, 0.4135, 0.0291)
Ge (0.8551, 0.4135, 0.5291)
N (0.1273, 0.4418, 0.7164)
N (0.3727, 0.4418, 0.2164)
N (0.6273, 0.5582, 0.7164)
N (0.8727, 0.5582, 0.2164)
O (0.1095, 0.0831, 0.4304)
O (0.3905, 0.0831, 0.9304)
O (0.6095, 0.9169, 0.4304)
O (0.8905, 0.9169, 0.9304)

Calculated values
Symmetry: No. 29
Total magnetization, μB per atom: 0.000
Theoretical density, g/cm3: 6.43

---

Run four
# PrGeNO

PrGeNO after structural relaxation (GGA-PBE, OQMD via LeMat-Bulk).

a b c (Å): 3.7869 6.8929 5.1771
angles (deg): 90.00 90.00 90.00
Atoms (fractional coordinates):
Pr (0.0000, 0.2131, 0.0000)
Pr (0.0000, 0.7869, 0.5000)
Ge (0.5000, 0.2442, 0.4748)
Ge (0.5000, 0.7558, 0.9748)
N (0.0000, 0.1312, 0.5159)
N (0.0000, 0.8688, 0.0159)
O (0.5000, 0.3542, 0.8016)
O (0.5000, 0.6458, 0.3016)

Calculated values
Symmetry: No. 26
Total magnetization, μB per atom: 0.000
Theoretical density, g/cm3: 5.99

---

Q: Which of them is the least stable? A: run two.